Entry 1:
! SiAsPt2 | Alexandria | PBE | relaxed; values from VASP
&SYSTEM
  ibrav = 0, nat = 4, ntyp = 3
/
ATOMIC_SPECIES
Si 28.09 Si.upf
As 74.92 As.upf
Pt 195.08 Pt.upf
CELL_PARAMETERS angstrom
1.5205 0.8778 7.9482
-1.5205 0.8778 7.9482
0.0000 -1.7557 7.9482
ATOMIC_POSITIONS crystal
Si 0.0000 0.0000 0.0000
As 0.5000 0.5000 0.5000
Pt 0.2595 0.2595 0.2595
Pt 0.7405 0.7405 0.7405
! Spin magnetization (μB per formula unit): 0.0
! E (eV/atom): -5.791
! Symmetry: R-3m, No. 166
! ΔE_f (raw) (eV/atom): -0.25

Entry 2:
! Sm3Si2AsPt9 | Alexandria | PBE | relaxed; values from VASP
&SYSTEM
  ibrav = 0, nat = 15, ntyp = 4
/
ATOMIC_SPECIES
Sm 150.36 Sm.upf
Si 28.09 Si.upf
As 74.92 As.upf
Pt 195.08 Pt.upf
CELL_PARAMETERS angstrom
6.4905 0.0000 0.0000
-3.2452 5.6209 0.0000
0.0000 0.0000 8.5734
ATOMIC_POSITIONS crystal
Sm 0.0000 0.0000 0.0000
Sm 0.3333 0.6667 0.7075
Sm 0.6667 0.3333 0.2925
Si 0.3333 0.6667 0.1853
Si 0.6667 0.3333 0.8147
As 0.0000 0.0000 0.5000
Pt 0.0000 0.5000 0.0000
Pt 0.1449 0.2898 0.2825
Pt 0.1449 0.8551 0.2825
Pt 0.2898 0.1449 0.7175
Pt 0.5000 0.0000 0.0000
Pt 0.5000 0.5000 0.0000
Pt 0.7102 0.8551 0.2825
Pt 0.8551 0.1449 0.7175
Pt 0.8551 0.7102 0.7175
! Spin magnetization (μB per formula unit): 0.0
! E (eV/atom): -6.322
! Symmetry: P-3m1, No. 164
! ΔE_f (raw) (eV/atom): -0.72

Entry 3:
! Sr2SiAsPt6 | Alexandria | PBE | relaxed; values from VASP
&SYSTEM
  ibrav = 0, nat = 10, ntyp = 4
/
ATOMIC_SPECIES
Sr 87.62 Sr.upf
Si 28.09 Si.upf
As 74.92 As.upf
Pt 195.08 Pt.upf
CELL_PARAMETERS angstrom
6.6046 0.0000 0.0000
3.1791 5.7950 0.0000
3.1798 1.8997 5.4848
ATOMIC_POSITIONS crystal
Sr 0.2125 0.2138 0.2122
Sr 0.7875 0.7862 0.7878
Si 0.5000 0.5000 0.5000
As 0.0000 0.0000 0.0000
Pt 0.2518 0.2495 0.6571
Pt 0.2516 0.6580 0.2499
Pt 0.3417 0.7496 0.7490
Pt 0.6583 0.2504 0.2510
Pt 0.7484 0.3420 0.7501
Pt 0.7482 0.7505 0.3429
! Spin magnetization (μB per formula unit): 0.0
! E (eV/atom): -5.712
! Symmetry: P-1, No. 2
! ΔE_f (raw) (eV/atom): -0.74

Entry 4:
! Tb2SiAsPt6 | Alexandria | PBE | relaxed; values from VASP
&SYSTEM
  ibrav = 0, nat = 20, ntyp = 4
/
ATOMIC_SPECIES
Tb 158.93 Tb.upf
Si 28.09 Si.upf
As 74.92 As.upf
Pt 195.08 Pt.upf
CELL_PARAMETERS angstrom
5.5265 0.0000 0.0000
0.0000 8.3966 0.0000
0.0000 0.0000 8.4473
ATOMIC_POSITIONS crystal
Tb 0.2500 0.0064 0.2349
Tb 0.2500 0.4936 0.2349
Tb 0.7500 0.5064 0.7651
Tb 0.7500 0.9936 0.7651
Si 0.2500 0.7500 0.7575
Si 0.7500 0.2500 0.2425
As 0.2500 0.2500 0.7756
As 0.7500 0.7500 0.2244
Pt 0.0022 0.2500 0.4856
Pt 0.0026 0.7500 0.9854
Pt 0.2500 0.0043 0.6204
Pt 0.2500 0.4957 0.6204
Pt 0.4974 0.7500 0.9854
Pt 0.4978 0.2500 0.4856
Pt 0.5022 0.7500 0.5144
Pt 0.5026 0.2500 0.0146
Pt 0.7500 0.5043 0.3796
Pt 0.7500 0.9957 0.3796
Pt 0.9974 0.2500 0.0146
Pt 0.9978 0.7500 0.5144
! Spin magnetization (μB per formula unit): 0.0
! E (eV/atom): -6.471
! Symmetry: Pmmn, No. 59
! ΔE_f (raw) (eV/atom): -0.91

What did the third record say?
! Sr2SiAsPt6 | Alexandria | PBE | relaxed; values from VASP
&SYSTEM
  ibrav = 0, nat = 10, ntyp = 4
/
ATOMIC_SPECIES
Sr 87.62 Sr.upf
Si 28.09 Si.upf
As 74.92 As.upf
Pt 195.08 Pt.upf
CELL_PARAMETERS angstrom
6.6046 0.0000 0.0000
3.1791 5.7950 0.0000
3.1798 1.8997 5.4848
ATOMIC_POSITIONS crystal
Sr 0.2125 0.2138 0.2122
Sr 0.7875 0.7862 0.7878
Si 0.5000 0.5000 0.5000
As 0.0000 0.0000 0.0000
Pt 0.2518 0.2495 0.6571
Pt 0.2516 0.6580 0.2499
Pt 0.3417 0.7496 0.7490
Pt 0.6583 0.2504 0.2510
Pt 0.7484 0.3420 0.7501
Pt 0.7482 0.7505 0.3429
! Spin magnetization (μB per formula unit): 0.0
! E (eV/atom): -5.712
! Symmetry: P-1, No. 2
! ΔE_f (raw) (eV/atom): -0.74

Q: Among the records above, which one has the lowest ΔE_f (raw)?
A: Tb2SiAsPt6